<w>
First-principles (GGA-PBE) data for TaInS2N after structural relaxation, as listed in Alexandria via LeMat-Bulk.

Computed properties:
mass density: 6.3 g cm⁻³
M_tot: 0.0 μB per formula unit

```
5
Lattice="4.931 0.000 0.000 0.000 4.931 0.000 0.000 0.000 4.041" Properties=species:S:1:pos:R:3 pbc="T T T"
N 0.000 0.000 2.020
S 0.000 2.466 0.000
S 2.466 0.000 0.000
In 2.466 2.466 2.020
Ta 0.000 0.000 0.000
```

=====

<x>
First-principles (GGA-PBE) data for TaInS2N after structural relaxation, as listed in Alexandria via LeMat-Bulk.

Computed properties:
mass density: 5.9 g cm⁻³
M_tot: 0.9 μB per formula unit

```
5
Lattice="5.074 0.000 0.000 0.000 5.074 0.000 0.000 0.000 4.088" Properties=species:S:1:pos:R:3 pbc="T T T"
N 0.000 0.000 2.044
S 0.000 2.537 0.000
S 2.537 0.000 0.000
In 0.000 0.000 0.000
Ta 2.537 2.537 2.044
```

=====

Short version: <w> is the most stable of them.

=====

<w>
First-principles (GGA-PBE) data for InTcS2N after structural relaxation, as listed in Alexandria via LeMat-Bulk.

Computed properties:
mass density: 4.5 g cm⁻³
M_tot: 6.6 μB per formula unit

```
5
Lattice="-2.004 -0.121 4.722 3.264 -3.743 1.290 2.734 2.808 1.232" Properties=species:S:1:pos:R:3 pbc="T T T"
S 1.632 -1.872 0.645
S -1.002 -0.060 2.361
N 1.367 1.404 0.616
Tc 1.997 -0.528 3.622
In 0.000 0.000 0.000
```

=====

<x>
First-principles (GGA-PBE) data for InTcS2N after structural relaxation, as listed in Alexandria via LeMat-Bulk.

Computed properties:
mass density: 5.3 g cm⁻³
M_tot: 0.0 μB per formula unit

```
5
Lattice="4.932 0.000 0.000 0.000 4.932 0.000 0.000 0.000 3.737" Properties=species:S:1:pos:R:3 pbc="T T T"
S 0.000 2.466 0.000
S 2.466 0.000 0.000
N 0.000 0.000 1.868
Tc 0.000 0.000 0.000
In 2.466 2.466 1.868
```

=====

Short version: <x> is the most stable of them.

=====

<w>
First-principles (GGA-PBE) data for InTeSN2 after structural relaxation, as listed in Alexandria via LeMat-Bulk.

Computed properties:
mass density: 5.6 g cm⁻³
M_tot: 2.0 μB per formula unit

```
5
Lattice="-3.522 1.187 1.592 0.620 -2.422 3.178 2.575 4.111 2.631" Properties=species:S:1:pos:R:3 pbc="T T T"
N 0.310 -1.211 1.589
N -1.761 0.594 0.796
S 0.000 0.000 0.000
Te 1.288 2.056 1.316
In -0.164 1.438 3.701
```

=====

<x>
First-principles (GGA-PBE) data for InTeSN2 after structural relaxation, as listed in Alexandria via LeMat-Bulk.

Computed properties:
mass density: 5.7 g cm⁻³
M_tot: 0.0 μB per formula unit

```
5
Lattice="4.027 0.000 0.000 0.000 4.027 0.000 0.000 0.000 5.389" Properties=species:S:1:pos:R:3 pbc="T T T"
N 0.000 2.014 0.000
N 2.014 0.000 0.000
S 0.000 0.000 2.694
Te 0.000 0.000 0.000
In 2.014 2.014 2.694
```

=====

<y>
First-principles (GGA-PBE) data for InTeSN2 after structural relaxation, as listed in Alexandria via LeMat-Bulk.

Computed properties:
mass density: 4.1 g cm⁻³
M_tot: 3.6 μB per formula unit

```
5
Lattice="4.181 0.000 0.000 0.000 4.181 0.000 0.000 0.000 6.979" Properties=species:S:1:pos:R:3 pbc="T T T"
N 0.000 2.091 0.000
N 2.091 0.000 0.000
S 2.091 2.091 3.490
Te 0.000 0.000 3.490
In 0.000 0.000 0.000
```

=====

Short version: <x> is the most stable of them.